1.
Here is a relaxed Ta2CrPb crystal from Alexandria via LeMat-Bulk. Energies are from PBE-GGA.

Results
energy relative to the elements	458	meV/atom
symmetry	No. 123

Cell and atoms, written as extended XYZ:
```
4
Lattice="3.3931 0.0000 0.0000 0.0000 3.3931 0.0000 0.0000 0.0000 6.3202" Properties=species:S:1:pos:R:3 pbc="T T T"
Pb 1.6965 1.6965 4.7401
Ta 0.0000 0.0000 0.2531
Ta 0.0000 0.0000 2.9069
Cr 1.6965 1.6965 1.5800
```

***

2.
Here is a relaxed LaVAu3 crystal from Alexandria via LeMat-Bulk. Energies are from PBE-GGA.

Results
energy relative to the elements	-39	meV/atom
symmetry	No. 221

Cell and atoms, written as extended XYZ:
```
5
Lattice="-4.1784 1.1560 2.4515 0.9343 -3.6142 3.2969 2.5442 3.2258 2.8153" Properties=species:S:1:pos:R:3 pbc="T T T"
Au 1.2721 1.6129 1.4077
Au -2.0892 0.5780 1.2257
Au 0.4672 -1.8071 1.6484
V 0.0000 0.0000 0.0000
La -0.3499 0.3838 4.2818
```

***

3.
Here is a relaxed PPbSeBr2 crystal from Alexandria via LeMat-Bulk. Energies are from PBE-GGA.

Results
symmetry	No. 123
E_tot	-2.636	eV per atom

Cell and atoms, written as extended XYZ:
```
5
Lattice="-0.3983 -1.9742 5.4544 -4.4969 -3.3485 -1.5403 3.9414 -4.6511 -1.3956" Properties=species:S:1:pos:R:3 pbc="T T T"
Br -0.1992 -0.9871 2.7272
Br -2.2484 -1.6742 -0.7702
P -0.4769 -4.9869 1.2593
Pb 0.0000 0.0000 0.0000
Se 1.9707 -2.3256 -0.6978
```

***

4.
Here is a relaxed CsZr2MoSe crystal from Alexandria via LeMat-Bulk. Energies are from PBE-GGA.

Results
symmetry	No. 123
E_tot	-5.557	eV per atom

Cell and atoms, written as extended XYZ:
```
5
Lattice="-4.9595 0.4474 -0.8132 -1.0923 -2.3393 5.3750 0.0843 4.6195 2.0276" Properties=species:S:1:pos:R:3 pbc="T T T"
Zr -2.4797 0.2237 -0.4066
Zr 0.0421 2.3097 1.0138
Mo 0.0000 0.0000 0.0000
Cs -0.5462 -1.1696 2.6875
Se -2.9838 1.3638 3.2947
```